1.
Compound: Ca2SbP
Source: Alexandria
Functional: PBE-GGA
Structure: optimized geometry

## Properties
formation energy (no corrections): -844 meV/atom
polymorph energy (0 for the lowest one): 0.0 kJ/mol of atoms

Cell lengths 6.1564, 6.1564, 4.4477 Å; angles 79.11, 79.11, 40.91 degrees
With the nearest neighbours (Å) after each atom.
Sites, in units of the cell vectors:
Ca (0.0024, 0.0024, 0.1227)  4 P 3.00-3.21, 3 Sb 3.24-3.33
Ca (0.7322, 0.7322, 0.6248)  1 P 2.88, 4 Sb 3.12-3.19
P (0.4800, 0.4800, 0.6668)  1 Sb 2.61, 1 Ca 2.88
Sb (0.2855, 0.2855, 0.0858)  1 P 2.61

2.
Compound: Ca2Sc2Sb2P
Source: Alexandria
Functional: PBE-GGA
Structure: optimized geometry

## Properties
formation energy (no corrections): -1052 meV/atom

Cell lengths 4.8912, 4.8912, 8.7549 Å; angles 106.22, 106.22, 90.00 degrees
With the nearest neighbours (Å) after each atom.
Sites, in units of the cell vectors:
Ca (0.1730, 0.1730, 0.3460)  1 P 2.78
Ca (0.8270, 0.8270, 0.6540)  1 P 2.78
Sc (0.0000, 0.5000, 0.0000)  2 P 2.45
Sc (0.5000, 0.0000, 0.0000)  2 P 2.45
Sb (0.3706, 0.3706, 0.7412)  5 Ca 3.18-3.53, 4 Sc 3.21
Sb (0.6294, 0.6294, 0.2588)  5 Ca 3.18-3.53, 4 Sc 3.21
P (0.0000, 0.0000, 0.0000)  4 Sc 2.45

3.
Compound: Sr2CaSbP
Source: Alexandria
Functional: PBE-GGA
Structure: optimized geometry

## Properties
formation energy (no corrections): -946 meV/atom

Cell lengths 5.7383, 5.7383, 5.4019 Å; angles 90.00, 90.00, 90.00 degrees
With the nearest neighbours (Å) after each atom.
Sites, in units of the cell vectors:
Sb (0.5000, 0.5000, 0.5000)  8 Sr 3.94, 4 Ca 4.06
Ca (0.0000, 0.0000, 0.5000)  2 P 2.70
P (0.0000, 0.0000, 0.0000)  2 Ca 2.70, 4 Sr 2.87
Sr (0.0000, 0.5000, 0.0000)  2 P 2.87
Sr (0.5000, 0.0000, 0.0000)  2 P 2.87

4.
Compound: CaTiSbP2
Source: Alexandria
Functional: PBE-GGA
Structure: optimized geometry

## Properties
formation energy (no corrections): 1052 meV/atom

Cell lengths 5.1712, 5.4702, 5.1712 Å; angles 90.00, 90.00, 90.00 degrees
With the nearest neighbours (Å) after each atom.
Sites, in units of the cell vectors:
Sb (0.0000, 0.0000, 0.0000)  4 P 2.59, 2 Ca 2.74
Ca (0.0000, 0.5000, 0.0000)  2 Sb 2.74
P (0.0000, 0.0000, 0.5000)  2 Sb 2.59
P (0.5000, 0.0000, 0.0000)  2 Sb 2.59
Ti (0.5000, 0.5000, 0.5000)  4 Ca 3.66, 8 P 3.76

5.
Compound: Ca2ZnSbP
Source: Alexandria
Functional: PBE-GGA
Structure: optimized geometry

## Properties
formation energy (no corrections): -855 meV/atom

Cell lengths 4.2893, 7.4469, 8.8262 Å; angles 106.38, 90.00, 90.00 degrees
With the nearest neighbours (Å) after each atom.
Sites, in units of the cell vectors:
Ca (0.7500, 0.8218, 0.6088)  2 P 2.85
Ca (0.7500, 0.7849, 0.0284)  3 P 2.80-2.89
Ca (0.2500, 0.1782, 0.3912)  2 P 2.85
Ca (0.2500, 0.2151, 0.9716)  3 P 2.80-2.89
Zn (0.2500, 0.5106, 0.7344)  1 P 2.28
Zn (0.7500, 0.4894, 0.2656)  1 P 2.28
Sb (0.2500, 0.7062, 0.3039)  2 Zn 2.65
Sb (0.7500, 0.2938, 0.6961)  2 Zn 2.65
P (0.2500, 0.8292, 0.8225)  1 Zn 2.28
P (0.7500, 0.1708, 0.1775)  1 Zn 2.28

6.
Compound: CaScP2
Source: Alexandria
Functional: PBE-GGA
Structure: optimized geometry

## Properties
polymorph energy (0 for the lowest one): 10.7 kJ/mol of atoms
energy of formation: -1.012 eV per atom

Cell lengths 3.9202, 3.9287, 5.5400 Å; angles 90.00, 90.00, 90.00 degrees
With the nearest neighbours (Å) after each atom.
Sites, in units of the cell vectors:
Ca (0.5000, 0.5000, 0.8749)  6 P 2.77
P (0.0000, 0.0000, 0.8751)  2 Sc 2.77, 4 Ca 2.77
P (0.5000, 0.5000, 0.3749)  2 Ca 2.77, 4 Sc 2.77
Sc (0.0000, 0.0000, 0.3751)  6 P 2.77

7.
Compound: CaScP2
Source: Alexandria
Functional: PBE-GGA
Structure: optimized geometry

## Properties
polymorph energy (0 for the lowest one): 18.2 kJ/mol of atoms
energy of formation: -0.934 eV per atom

Cell lengths 7.5132, 7.5132, 7.5132 Å; angles 151.53, 154.70, 38.45 degrees
With the nearest neighbours (Å) after each atom.
Sites, in units of the cell vectors:
Ca (0.2964, 0.7964, 0.5000)  6 P 2.92-2.93
P (0.9673, 0.9673, 0.0000)  4 Sc 2.73, 2 Ca 2.93
P (0.6873, 0.1873, 0.5000)  2 Sc 2.70, 4 Ca 2.92
Sc (0.5490, 0.5490, 0.0000)  6 P 2.70-2.73

8.
Compound: CaScP2
Source: Alexandria
Functional: PBE-GGA
Structure: optimized geometry

## Properties
polymorph energy (0 for the lowest one): 14.6 kJ/mol of atoms
energy of formation: -0.971 eV per atom

Cell lengths 5.4709, 5.4709, 4.0506 Å; angles 82.52, 82.52, 40.76 degrees
With the nearest neighbours (Å) after each atom.
Sites, in units of the cell vectors:
Ca (0.7587, 0.7587, 0.8878)  7 P 2.74-3.07
P (0.0281, 0.0281, 0.8354)  1 P 2.41
P (0.2187, 0.2187, 0.4122)  1 P 2.41
Sc (0.4945, 0.4945, 0.3646)  7 P 2.75-3.01

9.
Compound: CaScP2
Source: Alexandria
Functional: PBE-GGA
Structure: optimized geometry

## Properties
polymorph energy (0 for the lowest one): 20.7 kJ/mol of atoms
energy of formation: -0.908 eV per atom

Cell lengths 3.3586, 3.3586, 7.2660 Å; angles 90.00, 90.00, 102.99 degrees
With the nearest neighbours (Å) after each atom.
Sites, in units of the cell vectors:
Ca (0.5000, 0.5000, 0.7500)  4 P 2.88
P (0.0000, 0.0000, 0.0232)  2 Sc 2.66, 2 Ca 2.88
P (0.0000, 0.0000, 0.4768)  2 Sc 2.66, 2 Ca 2.88
Sc (0.5000, 0.5000, 0.2500)  4 P 2.66

10.
Compound: Ca4ScP
Source: Alexandria
Functional: PBE-GGA
Structure: optimized geometry

## Properties
energy of formation: 0.515 eV per atom

Cell lengths 6.5431, 6.5431, 6.5431 Å; angles 60.00, 60.00, 60.00 degrees
With the nearest neighbours (Å) after each atom.
Sites, in units of the cell vectors:
Ca (0.8758, 0.3747, 0.3747)  6 Ca 3.26-3.28
Ca (0.3747, 0.3747, 0.8758)  6 Ca 3.26-3.28
Ca (0.3747, 0.8758, 0.3747)  6 Ca 3.26-3.28
Ca (0.3747, 0.3747, 0.3747)  6 Ca 3.26-3.28
Sc (0.0000, 0.0000, 0.0000)  12 Ca 3.84, 4 P 4.01
P (0.7500, 0.7500, 0.7500)  12 Ca 3.84, 4 Sc 4.01

11.
Compound: CaSc4P
Source: Alexandria
Functional: PBE-GGA
Structure: optimized geometry

## Properties
energy of formation: 0.334 eV per atom

Cell lengths 6.0140, 6.0140, 6.0140 Å; angles 60.00, 60.00, 60.00 degrees
With the nearest neighbours (Å) after each atom.
Sites, in units of the cell vectors:
Ca (0.7500, 0.7500, 0.7500)  12 Sc 3.52, 4 P 3.68
Sc (0.8729, 0.3757, 0.3757)  6 Sc 2.99-3.02
Sc (0.3757, 0.3757, 0.8729)  6 Sc 2.99-3.02
Sc (0.3757, 0.8729, 0.3757)  6 Sc 2.99-3.02
Sc (0.3757, 0.3757, 0.3757)  6 Sc 2.99-3.02
P (0.0000, 0.0000, 0.0000)  12 Sc 3.53, 4 Ca 3.68

12.
Compound: CaScP2
Source: Alexandria
Functional: PBE-GGA
Structure: optimized geometry

## Properties
polymorph energy (0 for the lowest one): 99.5 kJ/mol of atoms
energy of formation: -0.092 eV per atom

Cell lengths 4.7476, 4.7476, 4.7476 Å; angles 60.00, 60.00, 60.00 degrees
With the nearest neighbours (Å) after each atom.
Sites, in units of the cell vectors:
Ca (0.5000, 0.5000, 0.5000)  4 Sc 2.91, 4 P 2.91
P (0.0000, 0.0000, 0.0000)  4 Sc 2.91, 4 P 2.91
P (0.2500, 0.2500, 0.2500)  4 Ca 2.91, 4 P 2.91
Sc (0.7500, 0.7500, 0.7500)  4 Ca 2.91, 4 P 2.91

13.
Compound: CaScP3
Source: Alexandria
Functional: PBE-GGA
Structure: optimized geometry

## Properties
polymorph energy (0 for the lowest one): 90.9 kJ/mol of atoms
energy of formation: 0.649 eV per atom

Cell lengths 4.9943, 4.9943, 4.9943 Å; angles 90.00, 90.00, 90.00 degrees
With the nearest neighbours (Å) after each atom.
Sites, in units of the cell vectors:
Sc (0.5000, 0.5000, 0.5000)  12 P 3.53
P (0.0000, 0.5000, 0.0000)  2 Ca 2.50
P (0.0000, 0.0000, 0.5000)  2 Ca 2.50
P (0.5000, 0.0000, 0.0000)  2 Ca 2.50
Ca (0.0000, 0.0000, 0.0000)  6 P 2.50

14.
Compound: CaScP2
Source: Alexandria
Functional: PBE-GGA
Structure: optimized geometry

## Properties
polymorph energy (0 for the lowest one): 26.6 kJ/mol of atoms
energy of formation: -0.847 eV per atom

Cell lengths 4.9720, 4.9720, 4.9720 Å; angles 130.57, 113.13, 87.53 degrees
With the nearest neighbours (Å) after each atom.
Sites, in units of the cell vectors:
Ca (0.2500, 0.7500, 0.5000)  4 P 2.82
P (0.9848, 0.9848, 0.0000)  2 Sc 2.68, 2 Ca 2.82
P (0.5152, 0.5152, 0.0000)  2 Sc 2.68, 2 Ca 2.82
Sc (0.7500, 0.2500, 0.5000)  4 P 2.68

Raw total energy readings, ordered: -4.228; -5.384; -3.926; -3.916; -3.817; -5.800; -5.722; -5.759; -5.696; -2.776; -5.122; -4.880; -4.264; -5.635 eV per atom